Entry 1:
Compound: La2Al4Ag3Au
Source: Alexandria via LeMat-Bulk
Functional: PBE-GGA
Structure: optimized geometry

Calculated values
Size of the total moment: 0.0 μB per cell
Formation energy: -452 meV/atom
Raw total energy: -4.1179 eV per atom

a = 4.4740 Å, b = 4.4740 Å, c = 10.7318 Å
α = 90.00°, β = 90.00°, γ = 90.00°
Closest atoms and distances in Å follow each position.
Space group P-4m2 (No. 115)
Inequivalent atoms, fractional coordinates:
La: 0.0000 0.5000 0.2474  8 Al 3.41-3.51, 6 Ag 3.42-3.47, 2 Au 3.47
Al: 0.0000 0.0000 0.5000  4 Ag 2.64
Al: 0.0000 0.5000 0.8702  3 Ag 2.57-2.64, 2 Au 2.64
Al: 0.5000 0.5000 0.5000  4 Ag 2.64
Ag: 0.0000 0.0000 0.0000  4 Al 2.64
Ag: 0.0000 0.5000 0.6308  5 Al 2.57-2.64
Au: 0.5000 0.5000 0.0000  4 Al 2.64

Entry 2:
Compound: YScTlZn
Source: Alexandria via LeMat-Bulk
Functional: PBE-GGA
Structure: optimized geometry

Calculated values
Polymorph energy (0 for the lowest one): 0.033 eV per atom
Size of the total moment: 0.8 μB per cell
Formation energy: -316 meV/atom
Raw total energy: -4.4249 eV per atom

a = 7.1981 Å, b = 7.1981 Å, c = 7.1981 Å
α = 90.00°, β = 90.00°, γ = 90.00°
Closest atoms and distances in Å follow each position.
Space group F-43m (No. 216)
Inequivalent atoms, fractional coordinates:
Y: 0.0000 0.0000 0.0000  4 Zn 3.12, 4 Tl 3.12
Sc: 0.0000 0.0000 0.5000  4 Tl 3.12, 4 Zn 3.12
Tl: 0.2500 0.2500 0.7500  4 Y 3.12, 4 Sc 3.12
Zn: 0.2500 0.2500 0.2500  4 Sc 3.12, 4 Y 3.12

Entry 3:
Compound: TbPm4Sm4
Source: Alexandria via LeMat-Bulk
Functional: PBE-GGA
Structure: optimized geometry

Calculated values
Size of the total moment: 0.0 μB per cell
Formation energy: 14 meV/atom
Raw total energy: -4.7090 eV per atom

a = 10.8884 Å, b = 10.8884 Å, c = 5.1369 Å
α = 90.00°, β = 90.00°, γ = 90.00°
Closest atoms and distances in Å follow each position.
Space group I4/mmm (No. 139)
Inequivalent atoms, fractional coordinates:
Tb: 0.0000 0.0000 0.0000  4 Pm 3.62, 8 Sm 3.63
Pm: 0.0000 0.3326 0.0000  1 Tb 3.62, 6 Sm 3.63, 5 Pm 3.64-3.65
Sm: 0.1662 0.1662 0.5000  4 Sm 3.62-3.64, 2 Tb 3.63, 6 Pm 3.63

Entry 4:
Compound: BeInRe2
Source: Alexandria via LeMat-Bulk
Functional: PBE-GGA
Structure: optimized geometry

Calculated values
Polymorph energy (0 for the lowest one): 0.655 eV per atom
Size of the total moment: 0.0 μB per cell
Formation energy: 742 meV/atom
Raw total energy: -7.0978 eV per atom

a = 5.2411 Å, b = 8.4030 Å, c = 2.8068 Å
α = 90.00°, β = 90.00°, γ = 90.00°
Closest atoms and distances in Å follow each position.
Space group Cmmm (No. 65)
Inequivalent atoms, fractional coordinates:
Be: 0.0000 0.0000 0.0000  2 In 2.62, 2 Be 2.81, 8 Re 2.85
In: 0.0000 0.5000 0.0000  2 Be 2.62, 2 In 2.81, 8 Re 2.85
Re: 0.2500 0.2500 0.5000  4 Re 2.62-2.81, 4 In 2.85, 4 Be 2.85